SrMoP2Ru | PBE | relaxed

a b c (Å): 4.1956 4.1956 6.1906
angles (deg): 109.81 109.81 90.00
Closest atoms and distances in Å follow each position.
Positions (direct):
Sr  0.0000  0.0000  0.0000  8 P 3.38, 4 Mo 3.43, 4 Ru 3.43
Mo  0.7500  0.2500  0.5000  4 P 2.37
P  0.6488  0.6488  0.2975  2 Mo 2.37, 2 Ru 2.37
P  0.3512  0.3512  0.7025  2 Mo 2.37, 2 Ru 2.37
Ru  0.2500  0.7500  0.5000  4 P 2.37

Results
- SG = No. 119
- theoretical density (g/cm3) = 6.0
- total magnetization (Bohr magnetons per cell) = 0.00
- ΔH_f (0 K) (meV per atom) = -719.3

TeMo2PRu | PBE | relaxed

a b c (Å): 4.9318 4.3021 4.9318
angles (deg): 90.00 90.00 90.00
Closest atoms and distances in Å follow each position.
Positions (direct):
Ru  0.0000  0.0000  0.0000  2 P 2.15
Mo  0.0000  0.0000  0.5000  2 Ru 2.47
Mo  0.5000  0.0000  0.0000  2 Ru 2.47
Te  0.5000  0.5000  0.5000  8 Mo 3.27, 4 P 3.49
P  0.0000  0.5000  0.0000  2 Ru 2.15

Results
- SG = No. 123
- theoretical density (g/cm3) = 7.2
- total magnetization (Bohr magnetons per cell) = 2.65
- E_form (uncorrected) (meV per atom) = 1063

ThMoP2Ru | PBE | relaxed

a b c (Å): 4.2004 4.2004 5.7508
angles (deg): 111.42 111.42 90.00
Closest atoms and distances in Å follow each position.
Positions (direct):
Th  0.0000  0.0000  0.0000  4 Mo 3.24, 4 Ru 3.24, 10 P 3.25-3.62
Mo  0.7500  0.2500  0.5000  4 P 2.40
P  0.6329  0.6329  0.2658  2 Mo 2.40, 2 Ru 2.40, 1 P 2.62
P  0.3671  0.3671  0.7342  2 Mo 2.40, 2 Ru 2.40, 1 P 2.62
Ru  0.2500  0.7500  0.5000  4 P 2.40

Results
- SG = No. 119
- theoretical density (g/cm3) = 9.4
- total magnetization (Bohr magnetons per cell) = 0.00
- ΔH_f (0 K) (meV per atom) = -861.0

TlMoPRu2 | PBE | relaxed

a b c (Å): 4.3977 4.5413 4.3977
angles (deg): 90.00 90.00 90.00
Closest atoms and distances in Å follow each position.
Positions (direct):
Ru  0.0000  0.0000  0.5000  2 P 2.20
Ru  0.5000  0.0000  0.0000  2 P 2.20
Tl  0.5000  0.5000  0.5000  4 Mo 3.11, 8 Ru 3.16
Mo  0.0000  0.5000  0.0000  2 P 2.27
P  0.0000  0.0000  0.0000  4 Ru 2.20, 2 Mo 2.27

Results
- SG = No. 123
- theoretical density (g/cm3) = 10.1
- total magnetization (Bohr magnetons per cell) = 1.45
- ΔH_f (0 K) (meV per atom) = 395.2

Which formula does entry 1 have? SrMoP2Ru

Repeat the first record exactly.
SrMoP2Ru | PBE | relaxed

a b c (Å): 4.1956 4.1956 6.1906
angles (deg): 109.81 109.81 90.00
Closest atoms and distances in Å follow each position.
Positions (direct):
Sr  0.0000  0.0000  0.0000  8 P 3.38, 4 Mo 3.43, 4 Ru 3.43
Mo  0.7500  0.2500  0.5000  4 P 2.37
P  0.6488  0.6488  0.2975  2 Mo 2.37, 2 Ru 2.37
P  0.3512  0.3512  0.7025  2 Mo 2.37, 2 Ru 2.37
Ru  0.2500  0.7500  0.5000  4 P 2.37

Results
- SG = No. 119
- theoretical density (g/cm3) = 6.0
- total magnetization (Bohr magnetons per cell) = 0.00
- ΔH_f (0 K) (meV per atom) = -719.3

The highest total magnetization belongs to which entry? TeMo2PRu

Look up the total magnetization of the fourth one. 1.45 Bohr magnetons per cell